Entry 1:
Computed, not measured: P2C after structural relaxation at the GGA-PBE level of DFT.

Results
DFT total energy in eV/atom: -5.5304
Total moment in Bohr magnetons per cell: 0.00
Density of states at the Fermi level in states/eV/cell: 1.54

abc: 2.774 2.774 6.580
angles: 90.00 90.00 120.00
Atoms (fractional coordinates):
P (0.333, 0.667, 0.194)
P (0.667, 0.333, 0.806)
C (0.000, 0.000, 0.000)

---

Entry 2:
Computed, not measured: Pm2ThZn3 after structural relaxation at the GGA-PBE level of DFT.

Results
DFT total energy in eV/atom: -3.7181
Total moment in Bohr magnetons per cell: 0.00
Density of states at the Fermi level in states/eV/cell: 6.95

abc: 5.182 5.182 6.340
angles: 90.00 90.00 120.00
Atoms (fractional coordinates):
Th (0.000, 0.000, 0.000)
Pm (0.667, 0.333, 0.336)
Pm (0.333, 0.667, 0.664)
Zn (0.333, 0.667, 0.163)
Zn (0.000, 0.000, 0.500)
Zn (0.667, 0.333, 0.837)

---

Entry 3:
Computed, not measured: Ce2AuSe after structural relaxation at the GGA-PBE level of DFT.

Results
DFT total energy in eV/atom: -5.6891
Total moment in Bohr magnetons per cell: 2.73
Formation energy without anion corrections in eV/atom: -1.032
Density of states at the Fermi level in states/eV/cell: 11.78

abc: 3.594 3.594 7.577
angles: 90.00 90.00 90.00
Atoms (fractional coordinates):
Se (0.500, 0.500, 0.000)
Au (0.500, 0.500, 0.500)
Ce (0.000, 0.000, 0.758)
Ce (0.000, 0.000, 0.242)

---

- What is the formula in the second record?
  Pm2ThZn3

---

Copy entry 1 word for word.
Computed, not measured: P2C after structural relaxation at the GGA-PBE level of DFT.

Results
DFT total energy in eV/atom: -5.5304
Total moment in Bohr magnetons per cell: 0.00
Density of states at the Fermi level in states/eV/cell: 1.54

abc: 2.774 2.774 6.580
angles: 90.00 90.00 120.00
Atoms (fractional coordinates):
P (0.333, 0.667, 0.194)
P (0.667, 0.333, 0.806)
C (0.000, 0.000, 0.000)

---

- density of states at the Fermi level of number 1 (P2C)?
  1.54 states/eV/cell

---

- The highest total moment belongs to which entry?
  Ce2AuSe